Compound: Sr2TlBiS5
Source: the Alexandria database
Functional: PBE-GGA
Structure: optimized geometry

a = 9.2558 Å, b = 9.2558 Å, c = 12.5783 Å
α = 90.00°, β = 90.00°, γ = 154.28°
Closest atoms and distances in Å follow each position.
Atoms (fractional coordinates):
Sr (0.1125, 0.8875, 0.5000)  8 S 3.05-3.34
Sr (0.1314, 0.8686, 0.1279)  8 S 3.10-3.39
Sr (0.8686, 0.1314, 0.6279)  8 S 3.10-3.39
Sr (0.8875, 0.1125, 0.0000)  8 S 3.05-3.34
Tl (0.4502, 0.5498, 0.2666)  4 S 2.49-2.71
Tl (0.5498, 0.4502, 0.7666)  4 S 2.49-2.71
Bi (0.2167, 0.7833, 0.8382)  5 S 2.63-2.92
Bi (0.7833, 0.2167, 0.3382)  5 S 2.63-2.92
S (0.0462, 0.9538, 0.8880)  2 Tl 2.57
S (0.2815, 0.7185, 0.4895)  2 Bi 2.80, 3 Sr 3.05-3.12
S (0.3128, 0.6872, 0.1793)  1 Tl 2.71, 2 Bi 2.92
S (0.3619, 0.6381, 0.8177)  1 Bi 2.63
S (0.4933, 0.5067, 0.5863)  1 Tl 2.49
S (0.5067, 0.4933, 0.0863)  1 Tl 2.49
S (0.6381, 0.3619, 0.3177)  1 Bi 2.63
S (0.6872, 0.3128, 0.6793)  1 Tl 2.71, 2 Bi 2.92
S (0.7185, 0.2815, 0.9895)  2 Bi 2.80, 3 Sr 3.05-3.12
S (0.9538, 0.0462, 0.3880)  2 Tl 2.57

Calculated values
E_tot: -4.446 eV per atom
space-group type: Cmc2_1
formation energy without anion corrections: -1085 meV/atom
V: 467.7 Å³/cell


Compound: PdRhSN2
Source: the Alexandria database
Functional: PBE-GGA
Structure: optimized geometry

a = 3.8388 Å, b = 3.8388 Å, c = 5.1115 Å
α = 90.00°, β = 90.00°, γ = 90.00°
Closest atoms and distances in Å follow each position.
Atoms (fractional coordinates):
Pd (0.0000, 0.0000, 0.0000)  4 N 1.92
Rh (0.5000, 0.5000, 0.5000)  4 S 2.71
S (0.0000, 0.0000, 0.5000)  2 Pd 2.56, 4 Rh 2.71
N (0.0000, 0.5000, 0.0000)  2 Pd 1.92
N (0.5000, 0.0000, 0.0000)  2 Pd 1.92

Calculated values
E_tot: -4.984 eV per atom
space-group type: P4/mmm
formation energy without anion corrections: 1680 meV/atom
density of states at the Fermi level: 5.057 states/eV per cell
V: 75.3 Å³/cell


Compound: NpRe2Ir
Source: the Alexandria database
Functional: PBE-GGA
Structure: optimized geometry

a = 4.0503 Å, b = 4.0503 Å, c = 3.9894 Å
α = 90.00°, β = 90.00°, γ = 90.00°
Closest atoms and distances in Å follow each position.
Atoms (fractional coordinates):
Np (0.0000, 0.0000, 0.0000)  8 Re 2.84, 4 Ir 2.86
Re (0.0000, 0.5000, 0.5000)  4 Np 2.84, 4 Ir 2.84, 4 Re 2.86
Re (0.5000, 0.0000, 0.5000)  4 Np 2.84, 4 Ir 2.84, 4 Re 2.86
Ir (0.5000, 0.5000, 0.0000)  8 Re 2.84, 4 Np 2.86

Calculated values
E_tot: -11.653 eV per atom
space-group type: P4/mmm
energy of formation from the pure elements: 0.021 eV per atom
density of states at the Fermi level: 5.233 states/eV per cell
V: 65.4 Å³/cell


Compound: Th7Sc3
Source: the Alexandria database
Functional: PBE-GGA
Structure: optimized geometry

a = 9.2231 Å, b = 9.2231 Å, c = 6.9689 Å
α = 101.04°, β = 101.04°, γ = 31.19°
Closest atoms and distances in Å follow each position.
Atoms (fractional coordinates):
Th (0.0000, 0.0000, 0.0000)  4 Sc 3.46-3.48, 8 Th 3.50-3.52
Th (0.2001, 0.2001, 0.6028)  5 Sc 3.45-3.52, 7 Th 3.47-3.52
Th (0.3976, 0.3976, 0.1990)  7 Th 3.45-3.52, 5 Sc 3.45-3.51
Th (0.4010, 0.4010, 0.6953)  8 Th 3.45-3.52, 4 Sc 3.47-3.52
Th (0.5990, 0.5990, 0.3047)  8 Th 3.45-3.52, 4 Sc 3.47-3.52
Th (0.6024, 0.6024, 0.8010)  7 Th 3.45-3.52, 5 Sc 3.45-3.51
Th (0.7999, 0.7999, 0.3972)  5 Sc 3.45-3.52, 7 Th 3.47-3.52
Sc (0.0000, 0.0000, 0.5000)  12 Th 3.47-3.51
Sc (0.1988, 0.1988, 0.0968)  10 Th 3.45-3.52, 2 Sc 3.50
Sc (0.8012, 0.8012, 0.9032)  10 Th 3.45-3.52, 2 Sc 3.50

Calculated values
E_tot: -7.041 eV per atom
space-group type: C2/m
energy of formation from the pure elements: 0.053 eV per atom
density of states at the Fermi level: 16.119 states/eV per cell
V: 300.9 Å³/cell